Entry 1:
Entry from Alexandria via LeMat-Bulk: a relaxed structure of TmScBr (PBE).

POSCAR file:
```
TmScBr
1.0
3.581 0.000 0.000
-1.791 3.101 0.000
0.000 0.000 6.913
Tm Sc Br
1 1 1
direct
0.000 0.000 0.000
0.333 0.667 0.644
0.667 0.333 0.335
```

Values from the calculation:
Symmetry = P3m1, No. 156
ΔE_f (raw) = -2.025 eV per formula unit
Energy relative to the lowest polymorph listed for this composition = 0.000 eV per atom
Calculated volume = 76.8 Å³/cell

Entry 2:
Entry from Alexandria via LeMat-Bulk: a relaxed structure of Sr5SnHg2 (PBE).

POSCAR file:
```
Sr5SnHg2
1.0
-4.320 4.320 8.085
4.320 -4.320 8.085
4.320 4.320 -8.085
Sr Sn Hg
10 2 4
direct
0.000 0.000 0.000
0.027 0.527 0.847
0.181 0.027 0.500
0.319 0.819 0.847
0.473 0.319 0.500
0.500 0.500 0.000
0.527 0.681 0.500
0.681 0.181 0.153
0.819 0.973 0.500
0.973 0.473 0.153
0.250 0.250 0.000
0.750 0.750 0.000
0.123 0.377 0.500
0.377 0.877 0.254
0.623 0.123 0.746
0.877 0.623 0.500
```

Values from the calculation:
Symmetry = I4/mcm, No. 140
ΔE_f = -0.474 eV/atom
Calculated volume = 603.6 Å³/cell

Entry 3:
Entry from Alexandria via LeMat-Bulk: a relaxed structure of ErPuFeCu (PBE).

POSCAR file:
```
ErPuFeCu
1.0
0.000 3.390 3.390
3.390 0.000 3.390
3.390 3.390 0.000
Er Pu Fe Cu
1 1 1 1
direct
0.000 0.000 0.000
0.500 0.500 0.500
0.250 0.250 0.250
0.750 0.750 0.750
```

Values from the calculation:
Symmetry = F-43m, No. 216
ΔE_f = 0.059 eV/atom
Calculated volume = 77.9 Å³/cell